(1)
Np2VIr | PBE-GGA | optimized geometry

a = 4.772 Å, b = 4.772 Å, c = 4.772 Å
α = 60.00°, β = 60.00°, γ = 60.00°
Element x y z (fractional)
Np (0.250, 0.250, 0.250)
Np (0.750, 0.750, 0.750)
V (0.000, 0.000, 0.000)
Ir (0.500, 0.500, 0.500)

Results
Magnetization: 5.2 μB/cell
Density of states at the Fermi level: 10.43 states/eV per cell
Energy: -43.153 eV/f.u.
ΔH_f (0 K): 0.177 eV per atom

---

(2)
SiHgSe3 | PBE-GGA | optimized geometry

a = 5.204 Å, b = 5.204 Å, c = 5.204 Å
α = 90.00°, β = 90.00°, γ = 90.00°
Element x y z (fractional)
Si (0.000, 0.000, 0.000)
Hg (0.500, 0.500, 0.500)
Se (0.000, 0.500, 0.500)
Se (0.500, 0.000, 0.500)
Se (0.500, 0.500, 0.000)

Results
Polymorph energy (0 for the lowest one): 1.259 eV per atom
Magnetization: 0.0 μB/cell
Density of states at the Fermi level: 3.30 states/eV per cell
Formation energy from raw total energies: 4.63 eV/f.u.
Energy: -11.545 eV/f.u.

---

(3)
LuMg2Cd | PBE-GGA | optimized geometry

a = 3.359 Å, b = 3.359 Å, c = 8.436 Å
α = 90.00°, β = 90.00°, γ = 90.00°
Element x y z (fractional)
Lu (0.000, 0.000, 0.000)
Mg (0.500, 0.500, 0.275)
Mg (0.500, 0.500, 0.725)
Cd (0.000, 0.000, 0.500)

Results
Polymorph energy (0 for the lowest one): 0.049 eV per atom
Magnetization: 0.0 μB/cell
Density of states at the Fermi level: 2.84 states/eV per cell
Energy: -8.983 eV/f.u.
ΔH_f (0 K): -0.089 eV per atom

---

(4)
GdY2Zn | PBE-GGA | optimized geometry

a = 4.791 Å, b = 4.791 Å, c = 4.734 Å
α = 90.00°, β = 90.00°, γ = 90.00°
Element x y z (fractional)
Gd (0.000, 0.000, 0.000)
Y (0.000, 0.500, 0.500)
Y (0.500, 0.000, 0.500)
Zn (0.500, 0.500, 0.000)

Results
Polymorph energy (0 for the lowest one): 0.124 eV per atom
Magnetization: 7.8 μB/cell
Density of states at the Fermi level: 5.47 states/eV per cell
Energy: -28.430 eV/f.u.
ΔH_f (0 K): -0.037 eV per atom

---

(5)
Li2ZnTc | PBE-GGA | optimized geometry

a = 2.546 Å, b = 2.546 Å, c = 9.078 Å
α = 90.00°, β = 90.00°, γ = 103.75°
Element x y z (fractional)
Li (0.000, 0.000, 0.248)
Li (0.000, 0.000, 0.752)
Zn (0.500, 0.500, 0.500)
Tc (0.500, 0.500, 0.000)

Results
Magnetization: 0.0 μB/cell
Density of states at the Fermi level: 1.80 states/eV per cell
Energy: -15.211 eV/f.u.
ΔH_f (0 K): 0.064 eV per atom

---

(6)
SiIO2 | PBE-GGA | optimized geometry

a = 5.482 Å, b = 5.482 Å, c = 5.482 Å
α = 60.00°, β = 60.00°, γ = 60.00°
Element x y z (fractional)
Si (0.125, 0.125, 0.125)
Si (0.875, 0.875, 0.875)
I (0.375, 0.375, 0.375)
I (0.625, 0.625, 0.625)
O (0.000, 0.000, 0.000)
O (0.000, 0.000, 0.500)
O (0.000, 0.500, 0.000)
O (0.500, 0.000, 0.000)

Results
Polymorph energy (0 for the lowest one): 0.000 eV per atom
Magnetization: 2.0 μB/cell
Density of states at the Fermi level: 3.19 states/eV per cell
Formation energy from raw total energies: -6.24 eV/f.u.
Energy: -23.129 eV/f.u.

---

(7)
BaNd2Te4 | PBE-GGA | optimized geometry

a = 7.838 Å, b = 7.838 Å, c = 15.667 Å
α = 90.00°, β = 90.00°, γ = 145.87°
Element x y z (fractional)
Ba (0.110, 0.890, 0.750)
Ba (0.890, 0.110, 0.250)
Nd (0.365, 0.635, 0.566)
Nd (0.365, 0.635, 0.934)
Nd (0.635, 0.365, 0.066)
Nd (0.635, 0.365, 0.434)
Te (0.000, 0.000, 0.000)
Te (0.000, 0.000, 0.500)
Te (0.270, 0.730, 0.117)
Te (0.270, 0.730, 0.383)
Te (0.441, 0.559, 0.750)
Te (0.559, 0.441, 0.250)
Te (0.730, 0.270, 0.617)
Te (0.730, 0.270, 0.883)

Results
Polymorph energy (0 for the lowest one): 0.017 eV per atom
Magnetization: 0.0 μB/cell
Formation energy from raw total energies: -10.78 eV/f.u.
Energy: -34.803 eV/f.u.

---

(8)
B2P2S | PBE-GGA | optimized geometry

a = 3.831 Å, b = 4.183 Å, c = 4.824 Å
α = 66.04°, β = 85.77°, γ = 76.09°
Element x y z (fractional)
B (0.000, 0.000, 0.000)
B (0.325, 0.999, 0.246)
P (0.166, 0.175, 0.570)
P (0.755, 0.611, 0.257)
S (0.580, 0.382, 0.974)

Results
Polymorph energy (0 for the lowest one): 0.263 eV per atom
Magnetization: 0.0 μB/cell
Formation energy from raw total energies: 0.56 eV/f.u.
Energy: -27.746 eV/f.u.

---

(9)
KMgAgBr4 | PBE-GGA | optimized geometry

a = 6.860 Å, b = 8.109 Å, c = 8.808 Å
α = 90.00°, β = 102.23°, γ = 90.00°
Element x y z (fractional)
K (0.212, 0.250, 0.070)
K (0.788, 0.750, 0.930)
Mg (0.220, 0.750, 0.323)
Mg (0.780, 0.250, 0.677)
Ag (0.280, 0.250, 0.648)
Ag (0.720, 0.750, 0.352)
Br (0.026, 0.014, 0.730)
Br (0.026, 0.486, 0.730)
Br (0.390, 0.750, 0.094)
Br (0.492, 0.750, 0.563)
Br (0.508, 0.250, 0.437)
Br (0.610, 0.250, 0.906)
Br (0.974, 0.514, 0.270)
Br (0.974, 0.986, 0.270)

Results
Magnetization: 0.0 μB/cell
Density of states at the Fermi level: 0.00 states/eV per cell
Formation energy from raw total energies: -8.34 eV/f.u.
Energy: -20.579 eV/f.u.

---

(10)
Ga3Sn | PBE-GGA | optimized geometry

a = 5.873 Å, b = 5.873 Å, c = 5.873 Å
α = 147.31°, β = 62.93°, γ = 127.85°
Element x y z (fractional)
Ga (0.000, 0.000, 0.000)
Ga (0.236, 0.501, 0.734)
Ga (0.767, 0.501, 0.266)
Sn (0.500, 0.000, 0.500)

Results
Magnetization: 0.0 μB/cell
Density of states at the Fermi level: 1.93 states/eV per cell
Energy: -12.845 eV/f.u.
ΔH_f (0 K): 0.060 eV per atom

---

(11)
Nd2ScIn4 | PBE-GGA | optimized geometry

a = 8.316 Å, b = 8.316 Å, c = 8.316 Å
α = 143.81°, β = 143.81°, γ = 52.11°
Element x y z (fractional)
Nd (0.248, 0.248, 0.000)
Nd (0.752, 0.752, 0.000)
Sc (0.000, 0.000, 0.000)
In (0.104, 0.604, 0.500)
In (0.396, 0.896, 0.500)
In (0.604, 0.104, 0.500)
In (0.896, 0.396, 0.500)

Results
Magnetization: 0.0 μB/cell
Density of states at the Fermi level: 5.76 states/eV per cell
Energy: -29.189 eV/f.u.
ΔH_f (0 K): -0.338 eV per atom

---

(12)
Bi2Pt | PBE-GGA | optimized geometry

a = 6.820 Å, b = 6.820 Å, c = 6.820 Å
α = 90.00°, β = 90.00°, γ = 90.00°
Element x y z (fractional)
Bi (0.130, 0.130, 0.130)
Bi (0.130, 0.370, 0.630)
Bi (0.370, 0.630, 0.130)
Bi (0.370, 0.870, 0.630)
Bi (0.630, 0.130, 0.370)
Bi (0.630, 0.370, 0.870)
Bi (0.870, 0.630, 0.370)
Bi (0.870, 0.870, 0.870)
Pt (0.000, 0.000, 0.500)
Pt (0.000, 0.500, 0.000)
Pt (0.500, 0.000, 0.000)
Pt (0.500, 0.500, 0.500)

Results
Magnetization: 0.0 μB/cell
Density of states at the Fermi level: 2.10 states/eV per cell
Energy: -14.571 eV/f.u.
ΔH_f (0 K): -0.256 eV per atom

---

(13)
FeIr2 | PBE-GGA | optimized geometry

a = 11.613 Å, b = 11.613 Å, c = 11.613 Å
α = 166.63°, β = 166.63°, γ = 18.95°
Element x y z (fractional)
Fe (0.375, 0.625, 0.750)
Fe (0.625, 0.375, 0.250)
Ir (0.049, 0.799, 0.250)
Ir (0.201, 0.951, 0.250)
Ir (0.799, 0.049, 0.750)
Ir (0.951, 0.201, 0.750)

Results
Magnetization: 3.6 μB/cell
Density of states at the Fermi level: 7.12 states/eV per cell
Energy: -25.848 eV/f.u.
ΔH_f (0 K): 0.112 eV per atom

---

(14)
VReMo6 | PBE-GGA | optimized geometry

a = 7.006 Å, b = 7.006 Å, c = 12.570 Å
α = 90.00°, β = 90.00°, γ = 126.62°
Element x y z (fractional)
V (0.000, 0.000, 0.248)
V (0.000, 0.000, 0.752)
V (0.251, 0.749, 0.000)
V (0.749, 0.251, 0.000)
Re (0.251, 0.749, 0.500)
Re (0.500, 0.500, 0.248)
Re (0.500, 0.500, 0.752)
Re (0.749, 0.251, 0.500)
Mo (0.000, 0.000, 0.000)
Mo (0.000, 0.000, 0.500)
Mo (0.123, 0.374, 0.124)
Mo (0.123, 0.374, 0.876)
Mo (0.125, 0.373, 0.374)
Mo (0.125, 0.373, 0.626)
Mo (0.250, 0.750, 0.249)
Mo (0.250, 0.750, 0.751)
Mo (0.373, 0.125, 0.374)
Mo (0.373, 0.125, 0.626)
Mo (0.374, 0.123, 0.124)
Mo (0.374, 0.123, 0.876)
Mo (0.500, 0.500, 0.000)
Mo (0.500, 0.500, 0.500)
Mo (0.626, 0.877, 0.124)
Mo (0.626, 0.877, 0.876)
Mo (0.627, 0.875, 0.374)
Mo (0.627, 0.875, 0.626)
Mo (0.750, 0.250, 0.249)
Mo (0.750, 0.250, 0.751)
Mo (0.875, 0.627, 0.374)
Mo (0.875, 0.627, 0.626)
Mo (0.877, 0.626, 0.124)
Mo (0.877, 0.626, 0.876)

Results
Polymorph energy (0 for the lowest one): 0.000 eV per atom
Magnetization: 0.0 μB/cell
Density of states at the Fermi level: 26.54 states/eV per cell
Energy: -86.955 eV/f.u.
ΔH_f (0 K): -0.050 eV per atom